Record 1
Computed, not measured: an optimized crystal structure of YGa2Ni3 at the GGA-PBE level of DFT.

Properties
Density = 7.4 g/cm3
Size of the total moment = 0.0 μB/f.u.
DOS at the Fermi energy = 7.8 states/eV/cell
Uncorrected energy = -5.527 eV/atom
ΔH_f (0 K) = -0.550 eV per atom

Cell lengths 8.9436, 8.9436, 3.9350 Å; angles 90.00, 90.00, 120.00 degrees
With the nearest neighbours (Å) after each atom.
Element x y z (fractional)
Ni (0.8206, 0.1794, 0.0000)  4 Ga 2.45, 2 Ni 2.49
Ga (0.3181, 0.0000, 0.5000)  6 Ni 2.45-2.55
Ga (0.0000, 0.3181, 0.5000)  6 Ni 2.45-2.55
Y (0.3333, 0.6667, 0.5000)  6 Ga 3.05, 12 Ni 3.09-3.25
Ni (0.6412, 0.8206, 0.0000)  4 Ga 2.45, 2 Ni 2.49
Ga (0.0000, 0.6819, 0.5000)  6 Ni 2.45-2.55
Ni (0.3588, 0.1794, 0.0000)  4 Ga 2.45, 2 Ni 2.49
Ni (0.5000, 0.5000, 0.0000)  4 Ni 2.49, 4 Ga 2.55
Ni (0.0000, 0.5000, 0.0000)  4 Ni 2.49, 4 Ga 2.55
Ni (0.5000, 0.0000, 0.0000)  4 Ni 2.49, 4 Ga 2.55
Ga (0.6819, 0.0000, 0.5000)  6 Ni 2.45-2.55
Ni (0.1794, 0.8206, 0.0000)  4 Ga 2.45, 2 Ni 2.49
Y (0.0000, 0.0000, 0.0000)  6 Ni 2.78
Ni (0.8206, 0.6412, 0.0000)  4 Ga 2.45, 2 Ni 2.49
Y (0.6667, 0.3333, 0.5000)  6 Ga 3.05, 12 Ni 3.09-3.25
Ga (0.3181, 0.3181, 0.5000)  6 Ni 2.45-2.55
Ga (0.6819, 0.6819, 0.5000)  6 Ni 2.45-2.55
Ni (0.1794, 0.3588, 0.0000)  4 Ga 2.45, 2 Ni 2.49

---

Record 2
Computed, not measured: an optimized crystal structure of Y3Ga4Ni2 at the GGA-PBE level of DFT.

Properties
Density = 6.3 g/cm3
Size of the total moment = 0.0 μB/f.u.
DOS at the Fermi energy = 4.8 states/eV/cell
Uncorrected energy = -5.430 eV/atom
ΔH_f (0 K) = -0.645 eV per atom

Cell lengths 4.2890, 5.6524, 8.3601 Å; angles 110.19, 90.00, 112.30 degrees
With the nearest neighbours (Å) after each atom.
Element x y z (fractional)
Y (0.0000, 0.0000, 0.0000)  8 Ga 2.91-3.12, 4 Ni 2.99
Ga (0.9696, 0.9391, 0.6390)  2 Ni 2.48, 1 Ga 2.63
Ga (0.0304, 0.0609, 0.3610)  2 Ni 2.48, 1 Ga 2.63
Y (0.6775, 0.3551, 0.6434)  4 Ni 2.93-3.24, 7 Ga 3.04-3.14
Ni (0.4015, 0.8030, 0.7322)  3 Ga 2.46-2.48
Ni (0.5985, 0.1970, 0.2678)  3 Ga 2.46-2.48
Y (0.3225, 0.6449, 0.3566)  4 Ni 2.93-3.24, 7 Ga 3.04-3.14
Ga (0.2676, 0.5352, 0.9201)  1 Ni 2.46, 2 Ga 2.62
Ga (0.7324, 0.4648, 0.0799)  1 Ni 2.46, 2 Ga 2.62

---

Record 3
Computed, not measured: an optimized crystal structure of YGaNi at the GGA-PBE level of DFT.

Properties
Density = 6.6 g/cm3
Size of the total moment = 0.0 μB/f.u.
DOS at the Fermi energy = 9.6 states/eV/cell
Uncorrected energy = -5.734 eV/atom
ΔH_f (0 K) = -0.643 eV per atom

Cell lengths 4.3148, 6.9240, 7.3100 Å; angles 90.00, 90.00, 90.00 degrees
With the nearest neighbours (Å) after each atom.
Element x y z (fractional)
Y (0.7500, 0.9833, 0.3024)  5 Ni 2.86-3.15, 6 Ga 3.02-3.13
Ga (0.7500, 0.3206, 0.5803)  4 Ni 2.50-2.67
Ga (0.2500, 0.6794, 0.4197)  4 Ni 2.50-2.67
Ni (0.2500, 0.2943, 0.4088)  4 Ga 2.50-2.67
Ga (0.7500, 0.8206, 0.9197)  4 Ni 2.50-2.67
Y (0.2500, 0.5167, 0.8024)  5 Ni 2.86-3.15, 6 Ga 3.02-3.13
Ni (0.2500, 0.7943, 0.0912)  4 Ga 2.50-2.67
Ni (0.7500, 0.2057, 0.9088)  4 Ga 2.50-2.67
Ni (0.7500, 0.7057, 0.5912)  4 Ga 2.50-2.67
Ga (0.2500, 0.1794, 0.0803)  4 Ni 2.50-2.67
Y (0.7500, 0.4833, 0.1976)  5 Ni 2.86-3.15, 6 Ga 3.02-3.13
Y (0.2500, 0.0167, 0.6976)  5 Ni 2.86-3.15, 6 Ga 3.02-3.13

---

Record 4
Computed, not measured: an optimized crystal structure of YGa2Ni3 at the GGA-PBE level of DFT.

Properties
Density = 7.3 g/cm3
Size of the total moment = 0.0 μB/f.u.
DOS at the Fermi energy = 9.3 states/eV/cell
Uncorrected energy = -5.418 eV/atom
ΔH_f (0 K) = -0.441 eV per atom

Cell lengths 9.0758, 9.0758, 3.8724 Å; angles 90.00, 90.00, 120.00 degrees
With the nearest neighbours (Å) after each atom.
Element x y z (fractional)
Ni (0.0035, 0.2919, 0.0000)  4 Ni 2.41-2.68, 2 Ga 2.44
Ga (0.0157, 0.5079, 0.5000)  2 Ni 2.41, 2 Ga 2.56
Ga (0.3701, 0.1851, 0.5000)  4 Ni 2.44, 2 Ga 2.56
Ni (0.7081, 0.9965, 0.0000)  4 Ni 2.41-2.68, 2 Ga 2.44
Ga (0.8149, 0.1851, 0.5000)  4 Ni 2.44, 2 Ga 2.56
Ni (0.0035, 0.7116, 0.0000)  4 Ni 2.41-2.68, 2 Ga 2.44
Ga (0.4921, 0.5079, 0.5000)  2 Ni 2.41, 2 Ga 2.56
Y (0.3333, 0.6667, 0.0000)  12 Ni 3.02-3.22, 6 Ga 3.16
Ni (0.1863, 0.3725, 0.5000)  2 Ga 2.41, 4 Ni 2.41
Ni (0.2884, 0.9965, 0.0000)  4 Ni 2.41-2.68, 2 Ga 2.44
Ga (0.8149, 0.6299, 0.5000)  4 Ni 2.44, 2 Ga 2.56
Y (0.6667, 0.3333, 0.0000)  12 Ga 3.03-3.36, 6 Ni 3.26
Ni (0.1863, 0.8137, 0.5000)  2 Ga 2.41, 4 Ni 2.41
Ni (0.7081, 0.7116, 0.0000)  4 Ni 2.41-2.68, 2 Ga 2.44
Ga (0.4921, 0.9843, 0.5000)  2 Ni 2.41, 2 Ga 2.56
Ni (0.2884, 0.2919, 0.0000)  4 Ni 2.41-2.68, 2 Ga 2.44
Ni (0.6275, 0.8137, 0.5000)  2 Ga 2.41, 4 Ni 2.41
Y (0.0000, 0.0000, 0.5000)  3 Ga 2.91, 3 Ni 2.93

---

Record 5
Computed, not measured: an optimized crystal structure of Y3GaNi at the GGA-PBE level of DFT.

Properties
Density = 4.8 g/cm3
Size of the total moment = 0.0 μB/f.u.
DOS at the Fermi energy = 7.8 states/eV/cell
Uncorrected energy = -5.753 eV/atom
ΔH_f (0 K) = -0.113 eV per atom
E above lowest polymorph = 0.000 eV per atom

Cell lengths 5.1649, 5.1649, 5.1649 Å; angles 90.00, 90.00, 90.00 degrees
With the nearest neighbours (Å) after each atom.
Element x y z (fractional)
Y (0.0000, 0.0000, 0.5000)  2 Ni 2.58
Ga (0.5000, 0.5000, 0.5000)  12 Y 3.65
Ni (0.0000, 0.0000, 0.0000)  6 Y 2.58
Y (0.0000, 0.5000, 0.0000)  2 Ni 2.58
Y (0.5000, 0.0000, 0.0000)  2 Ni 2.58

---

Record 6
Computed, not measured: an optimized crystal structure of Y2GaNi3 at the GGA-PBE level of DFT.

Properties
Density = 7.1 g/cm3
Size of the total moment = 0.0 μB/f.u.
DOS at the Fermi energy = 8.4 states/eV/cell
Uncorrected energy = -6.052 eV/atom
ΔH_f (0 K) = -0.502 eV per atom
E above lowest polymorph = 0.000 eV per atom

Cell lengths 5.2613, 5.2613, 8.2203 Å; angles 90.00, 90.00, 120.00 degrees
With the nearest neighbours (Å) after each atom.
Element x y z (fractional)
Ni (0.8320, 0.1680, 0.7500)  2 Ga 2.56, 4 Ni 2.61-2.65
Y (0.3333, 0.6667, 0.5590)  9 Ni 2.95-3.06, 3 Ga 3.08, 4 Y 3.14-3.19
Ni (0.3360, 0.1680, 0.7500)  2 Ga 2.56, 4 Ni 2.61-2.65
Y (0.3333, 0.6667, 0.9410)  9 Ni 2.95-3.06, 3 Ga 3.08, 4 Y 3.14-3.19
Ga (0.0000, 0.0000, 0.5000)  6 Ni 2.56
Ni (0.8320, 0.6640, 0.7500)  2 Ga 2.56, 4 Ni 2.61-2.65
Ga (0.0000, 0.0000, 0.0000)  6 Ni 2.56
Ni (0.6640, 0.8320, 0.2500)  2 Ga 2.56, 4 Ni 2.61-2.65
Y (0.6667, 0.3333, 0.0590)  9 Ni 2.95-3.06, 3 Ga 3.08, 4 Y 3.14-3.19
Ni (0.1680, 0.8320, 0.2500)  2 Ga 2.56, 4 Ni 2.61-2.65
Y (0.6667, 0.3333, 0.4410)  9 Ni 2.95-3.06, 3 Ga 3.08, 4 Y 3.14-3.19
Ni (0.1680, 0.3360, 0.2500)  2 Ga 2.56, 4 Ni 2.61-2.65

---

Record 7
Computed, not measured: an optimized crystal structure of Y7Ga2Ni2 at the GGA-PBE level of DFT.

Properties
Density = 5.0 g/cm3
Size of the total moment = 0.0 μB/f.u.
DOS at the Fermi energy = 10.2 states/eV/cell
Uncorrected energy = -5.967 eV/atom
ΔH_f (0 K) = -0.252 eV per atom

Cell lengths 6.7185, 6.8343, 6.7185 Å; angles 90.00, 110.18, 90.00 degrees
With the nearest neighbours (Å) after each atom.
Element x y z (fractional)
Y (0.4997, 0.2545, 0.0002)  2 Ni 2.64
Ga (0.1664, 0.5000, 0.1664)  1 Ga 2.56
Y (0.0000, 0.0000, 0.0000)  2 Ni 3.26, 4 Ga 3.65
Ni (0.7037, 0.0000, 0.2963)  6 Y 2.64-2.82
Y (0.9998, 0.2545, 0.5003)  2 Ni 2.64
Y (0.0002, 0.7455, 0.4997)  2 Ni 2.64
Ni (0.2963, 0.0000, 0.7037)  6 Y 2.64-2.82
Y (0.5003, 0.7455, 0.9998)  2 Ni 2.64
Y (0.4998, 0.2487, 0.5002)  2 Ni 2.81-2.82, 2 Ga 3.09
Y (0.5002, 0.7513, 0.4998)  2 Ni 2.81-2.82, 2 Ga 3.09
Ga (0.8336, 0.5000, 0.8336)  1 Ga 2.56

---

Record 8
Computed, not measured: an optimized crystal structure of Y8Ga2Ni at the GGA-PBE level of DFT.

Properties
Density = 5.1 g/cm3
Size of the total moment = 0.0 μB/f.u.
DOS at the Fermi energy = 11.2 states/eV/cell
Uncorrected energy = -6.056 eV/atom
ΔH_f (0 K) = -0.279 eV per atom

Cell lengths 4.9329, 6.6256, 9.5026 Å; angles 101.35, 105.04, 90.00 degrees
With the nearest neighbours (Å) after each atom.
Element x y z (fractional)
Ga (0.1879, 0.7567, 0.3758)  7 Y 3.01-3.20
Y (0.4094, 0.5412, 0.8187)  1 Ni 3.15, 4 Y 3.40-3.48, 2 Ga 3.42
Y (0.5906, 0.4588, 0.1813)  1 Ni 3.15, 4 Y 3.40-3.48, 2 Ga 3.42
Y (0.0224, 0.7808, 0.0449)  2 Ni 2.93, 1 Ga 3.07, 1 Y 3.18
Y (0.2097, 0.3189, 0.4195)  3 Ga 3.01-3.20, 2 Y 3.36
Y (0.7903, 0.6811, 0.5805)  3 Ga 3.01-3.20, 2 Y 3.36
Ga (0.8121, 0.2433, 0.6242)  7 Y 3.01-3.20
Ni (0.5000, 0.0000, 0.0000)  6 Y 2.81-2.93
Y (0.3487, 0.0191, 0.6973)  1 Ni 2.81, 3 Ga 3.02-3.10
Y (0.6513, 0.9809, 0.3027)  1 Ni 2.81, 3 Ga 3.02-3.10
Y (0.9776, 0.2192, 0.9551)  2 Ni 2.93, 1 Ga 3.07, 1 Y 3.18

---

Record 9
Computed, not measured: an optimized crystal structure of Y6GaNi2 at the GGA-PBE level of DFT.

Properties
Density = 5.3 g/cm3
Size of the total moment = 0.0 μB/f.u.
DOS at the Fermi energy = 17.3 states/eV/cell
Uncorrected energy = -6.294 eV/atom
ΔH_f (0 K) = -0.364 eV per atom

Cell lengths 8.3630, 8.3630, 8.3630 Å; angles 106.79, 109.57, 112.09 degrees
With the nearest neighbours (Å) after each atom.
Element x y z (fractional)
Y (0.6929, 0.3664, 0.6736)  3 Ni 2.74-2.90
Y (0.4624, 0.2823, 0.1802)  3 Ni 2.93-3.09, 1 Ga 3.16
Ni (0.6525, 0.0000, 0.6525)  8 Y 2.79-3.09, 1 Ni 2.94
Y (0.8054, 0.2371, 0.0424)  1 Ni 2.79, 1 Ga 3.02
Y (0.5376, 0.7177, 0.8198)  3 Ni 2.93-3.09, 1 Ga 3.16
Ni (0.5000, 0.6193, 0.1193)  1 Ni 2.38
Ga (0.0000, 0.0000, 0.0000)  8 Y 3.02-3.16, 2 Ni 3.35
Y (0.1946, 0.2371, 0.4317)  1 Ni 2.79, 1 Ga 3.02
Ni (0.3475, 0.0000, 0.3475)  8 Y 2.79-3.09, 1 Ni 2.94
Ni (0.5000, 0.3807, 0.8807)  1 Ni 2.38
Y (0.3071, 0.6336, 0.3264)  3 Ni 2.74-2.90
Y (0.6929, 0.0193, 0.3264)  3 Ni 2.74-2.90
Y (0.8979, 0.7177, 0.1802)  3 Ni 2.93-3.09, 1 Ga 3.16
Y (0.1021, 0.2823, 0.8198)  3 Ni 2.93-3.09, 1 Ga 3.16
Y (0.3071, 0.9807, 0.6736)  3 Ni 2.74-2.90
Y (0.1946, 0.7629, 0.9576)  1 Ni 2.79, 1 Ga 3.02
Y (0.8054, 0.7629, 0.5683)  1 Ni 2.79, 1 Ga 3.02
Ga (0.0000, 0.5000, 0.5000)  8 Y 3.22-3.35

---

Record 10
Computed, not measured: an optimized crystal structure of Y8GaNi2 at the GGA-PBE level of DFT.

Properties
Density = 5.1 g/cm3
Size of the total moment = 0.0 μB/f.u.
DOS at the Fermi energy = 14.7 states/eV/cell
Uncorrected energy = -6.183 eV/atom
ΔH_f (0 K) = -0.155 eV per atom

Cell lengths 5.3678, 7.8837, 7.8837 Å; angles 114.26, 97.96, 97.96 degrees
With the nearest neighbours (Å) after each atom.
Element x y z (fractional)
Y (0.9997, 0.7639, 0.2421)  2 Ni 2.82
Ga (0.0034, 0.0031, 0.0031)  4 Y 3.17
Y (0.5826, 0.0798, 0.3356)  2 Ni 2.82-2.89
Y (0.4163, 0.6705, 0.9263)  2 Ni 2.82-2.89
Ni (0.4996, 0.3075, 0.6984)  8 Y 2.82-3.10
Y (0.8092, 0.6207, 0.6207)  2 Ni 3.10, 1 Ga 3.17, 4 Y 3.21-3.41
Y (0.5826, 0.3356, 0.0798)  2 Ni 2.82-2.89
Y (0.1906, 0.3859, 0.3859)  2 Ni 3.10, 1 Ga 3.17, 4 Y 3.21-3.41
Ni (0.4996, 0.6984, 0.3075)  8 Y 2.82-3.10
Y (0.4163, 0.9263, 0.6705)  2 Ni 2.82-2.89
Y (0.9997, 0.2421, 0.7639)  2 Ni 2.82

---

Record 11
Computed, not measured: an optimized crystal structure of Y12GaNi5 at the GGA-PBE level of DFT.

Properties
Density = 5.4 g/cm3
Size of the total moment = 0.0 μB/f.u.
DOS at the Fermi energy = 17.8 states/eV/cell
Uncorrected energy = -6.413 eV/atom
ΔH_f (0 K) = -0.330 eV per atom

Cell lengths 8.3130, 8.3130, 8.3130 Å; angles 107.32, 111.46, 109.65 degrees
With the nearest neighbours (Å) after each atom.
Element x y z (fractional)
Y (0.8908, 0.1814, 0.7094)  4 Ni 2.89-3.23
Ni (0.5000, 0.8769, 0.3769)  1 Ni 2.43, 2 Y 2.71
Y (0.4719, 0.1814, 0.2906)  4 Ni 2.89-3.23
Y (0.3029, 0.6752, 0.9780)  3 Ni 2.71-2.85
Y (0.1092, 0.8186, 0.2906)  4 Ni 2.89-3.23
Y (0.1895, 0.9697, 0.7802)  2 Ni 2.72-2.82
Y (0.3029, 0.3248, 0.6277)  3 Ni 2.71-2.85
Y (0.1895, 0.4092, 0.2198)  2 Ni 2.72-2.82
Y (0.6971, 0.6752, 0.3723)  3 Ni 2.71-2.85
Y (0.8105, 0.5908, 0.7802)  2 Ni 2.72-2.82
Y (0.6971, 0.3248, 0.0220)  3 Ni 2.71-2.85
Ni (0.6387, 0.6387, 0.0000)  1 Ni 2.66, 6 Y 2.72-2.85
Ni (0.0000, 0.0000, 0.0000)  4 Y 2.82
Y (0.5281, 0.8186, 0.7094)  4 Ni 2.89-3.23
Ni (0.5000, 0.1231, 0.6231)  1 Ni 2.43, 2 Y 2.71
Ni (0.3613, 0.3613, 0.0000)  1 Ni 2.66, 6 Y 2.72-2.85
Y (0.8105, 0.0303, 0.2198)  2 Ni 2.72-2.82
Ga (0.0000, 0.5000, 0.5000)  12 Y 3.30-3.63

---

Record 12
Computed, not measured: an optimized crystal structure of Y2Ga8Ni at the GGA-PBE level of DFT.

Properties
Density = 6.5 g/cm3
Size of the total moment = 0.0 μB/f.u.
DOS at the Fermi energy = 4.9 states/eV/cell
Uncorrected energy = -4.392 eV/atom
ΔH_f (0 K) = -0.490 eV per atom

Cell lengths 4.2660, 4.2660, 11.0773 Å; angles 90.00, 90.00, 90.00 degrees
With the nearest neighbours (Å) after each atom.
Element x y z (fractional)
Ga (0.5000, 0.5000, 0.6964)  8 Ga 2.96-3.05, 4 Y 3.02
Ga (0.0000, 0.5000, 0.1186)  2 Ni 2.51, 1 Ga 2.63
Ga (0.0000, 0.5000, 0.8814)  2 Ni 2.51, 1 Ga 2.63
Ga (0.5000, 0.0000, 0.1186)  2 Ni 2.51, 1 Ga 2.63
Ga (0.0000, 0.5000, 0.5000)  8 Ga 3.02-3.05, 4 Y 3.02
Ga (0.5000, 0.0000, 0.8814)  2 Ni 2.51, 1 Ga 2.63
Ni (0.0000, 0.0000, 0.0000)  8 Ga 2.51
Ga (0.5000, 0.0000, 0.5000)  8 Ga 3.02-3.05, 4 Y 3.02
Ga (0.5000, 0.5000, 0.3036)  8 Ga 2.96-3.05, 4 Y 3.02
Y (0.0000, 0.0000, 0.3065)  12 Ga 2.98-3.02
Y (0.0000, 0.0000, 0.6935)  12 Ga 2.98-3.02

---

> size of the total moment of number 7 (Y7Ga2Ni2)?

0.0 μB/f.u.